## P
First-principles (PBE) data for a relaxed structure of SbTe2RuN, as listed in the Alexandria database.

Cell lengths 5.7613, 5.7613, 3.8240 Å; angles 90.00, 90.00, 90.00 degrees
Sites, in units of the cell vectors:
Sb 0.0000 0.0000 0.0000
Te 0.0000 0.5000 0.0000
Te 0.5000 0.0000 0.0000
Ru 0.5000 0.5000 0.5000
N 0.0000 0.0000 0.5000

Summary:
Space group: No. 123

***

## Q
First-principles (PBE) data for a relaxed structure of SbTe2RuN, as listed in the Alexandria database.

Cell lengths 5.1188, 5.1188, 5.0803 Å; angles 90.00, 90.00, 90.00 degrees
Sites, in units of the cell vectors:
Sb 0.0000 0.0000 0.0000
Te 0.0000 0.5000 0.5000
Te 0.5000 0.0000 0.5000
Ru 0.0000 0.0000 0.5000
N 0.5000 0.5000 0.0000

Summary:
Space group: No. 123

***

The energy of each structure relative to the most stable one, in meV per atom, is as follows: P 0; Q 141.

***

## P
First-principles (PBE) data for a relaxed structure of ScRuSeN2, as listed in the Alexandria database.

Cell lengths 4.0072, 4.0072, 5.5018 Å; angles 90.00, 90.00, 90.00 degrees
Sites, in units of the cell vectors:
Sc 0.0000 0.0000 0.0000
Ru 0.5000 0.5000 0.5000
Se 0.0000 0.0000 0.5000
N 0.0000 0.5000 0.0000
N 0.5000 0.0000 0.0000

Summary:
Space group: No. 123

***

## Q
First-principles (PBE) data for a relaxed structure of ScRuSeN2, as listed in the Alexandria database.

Cell lengths 3.8479, 3.8479, 5.1712 Å; angles 90.00, 90.00, 90.00 degrees
Sites, in units of the cell vectors:
Sc 0.0000 0.0000 0.0000
Ru 0.5000 0.5000 0.5000
Se 0.5000 0.5000 0.0000
N 0.0000 0.5000 0.5000
N 0.5000 0.0000 0.5000

Summary:
Space group: No. 123

***

The energy of each structure relative to the most stable one, in meV per atom, is as follows: P 945; Q 0.

***

## P
First-principles (PBE) data for a relaxed structure of RuSe3N, as listed in the Alexandria database.

Cell lengths 4.2912, 4.2912, 4.2912 Å; angles 90.00, 90.00, 90.00 degrees
Sites, in units of the cell vectors:
Ru 0.0000 0.0000 0.0000
Se 0.0000 0.5000 0.5000
Se 0.5000 0.0000 0.5000
Se 0.5000 0.5000 0.0000
N 0.5000 0.5000 0.5000

Summary:
Space group: No. 221

***

## Q
First-principles (PBE) data for a relaxed structure of RuSe3N, as listed in the Alexandria database.

Cell lengths 4.7967, 4.7967, 4.7967 Å; angles 90.00, 90.00, 90.00 degrees
Sites, in units of the cell vectors:
Ru 0.0000 0.0000 0.0000
Se 0.0000 0.0000 0.5000
Se 0.0000 0.5000 0.0000
Se 0.5000 0.0000 0.0000
N 0.5000 0.5000 0.5000

Summary:
Space group: No. 221

***

The energy of each structure relative to the most stable one, in meV per atom, is as follows: P 0; Q 502.

***

## P
First-principles (PBE) data for a relaxed structure of RuSeN, as listed in the Alexandria database.

Cell lengths 3.5145, 4.0617, 5.7152 Å; angles 73.29, 72.37, 64.50 degrees
Sites, in units of the cell vectors:
Ru 0.0000 0.0000 0.0000
Se 0.3778 0.4327 0.8108
N 0.8758 0.9495 0.3055

Summary:
Space group: No. 1

***

## Q
First-principles (PBE) data for a relaxed structure of RuSeN, as listed in the Alexandria database.

Cell lengths 2.9710, 5.0333, 3.4942 Å; angles 90.00, 114.59, 90.00 degrees
Sites, in units of the cell vectors:
Ru 0.0000 0.0000 0.0000
Se 0.0878 0.5000 0.1744
N 0.3241 0.0000 0.6384

Summary:
Space group: No. 6

***

The energy of each structure relative to the most stable one, in meV per atom, is as follows: P 204; Q 0.

***

## P
First-principles (PBE) data for a relaxed structure of RuSeN, as listed in the Alexandria database.

Cell lengths 2.7949, 5.2762, 3.0369 Å; angles 90.00, 94.48, 90.00 degrees
Sites, in units of the cell vectors:
Ru 0.0000 0.0000 0.0000
Se 0.0209 0.5000 0.9955
N 0.5704 0.0000 0.4599

Summary:
Space group: No. 6

***

## Q
First-principles (PBE) data for a relaxed structure of RuSeN, as listed in the Alexandria database.

Cell lengths 3.1343, 3.1347, 6.6779 Å; angles 98.27, 92.76, 119.99 degrees
Sites, in units of the cell vectors:
Ru 0.0000 0.0000 0.0000
Se 0.7699 0.4783 0.3051
N 0.2991 0.6189 0.9000

Summary:
Space group: No. 1

***

The energy of each structure relative to the most stable one, in meV per atom, is as follows: P 173; Q 0.

***

## P
First-principles (PBE) data for a relaxed structure of SnRuSeN2, as listed in the Alexandria database.

Cell lengths 3.9453, 3.9453, 5.3131 Å; angles 90.00, 90.00, 90.00 degrees
Sites, in units of the cell vectors:
Sn 0.0000 0.0000 0.0000
Ru 0.5000 0.5000 0.5000
Se 0.5000 0.5000 0.0000
N 0.0000 0.5000 0.5000
N 0.5000 0.0000 0.5000

Summary:
Space group: No. 123

***

## Q
First-principles (PBE) data for a relaxed structure of SnRuSeN2, as listed in the Alexandria database.

Cell lengths 4.0306, 4.0306, 5.6485 Å; angles 90.00, 90.00, 90.00 degrees
Sites, in units of the cell vectors:
Sn 0.0000 0.0000 0.0000
Ru 0.5000 0.5000 0.5000
Se 0.0000 0.0000 0.5000
N 0.0000 0.5000 0.0000
N 0.5000 0.0000 0.0000

Summary:
Space group: No. 123

***

The energy of each structure relative to the most stable one, in meV per atom, is as follows: P 0; Q 1005.

***

## P
First-principles (PBE) data for a relaxed structure of SrRuSeN2, as listed in the Alexandria database.

Cell lengths 4.2958, 4.2958, 4.5199 Å; angles 90.00, 90.00, 90.00 degrees
Sites, in units of the cell vectors:
Sr 0.0000 0.0000 0.0000
Ru 0.5000 0.5000 0.0000
Se 0.5000 0.5000 0.5000
N 0.0000 0.5000 0.5000
N 0.5000 0.0000 0.5000

Summary:
Space group: No. 123

***

## Q
First-principles (PBE) data for a relaxed structure of SrRuSeN2, as listed in the Alexandria database.

Cell lengths 3.9925, 3.9925, 5.3510 Å; angles 90.00, 90.00, 90.00 degrees
Sites, in units of the cell vectors:
Sr 0.0000 0.0000 0.0000
Ru 0.5000 0.5000 0.5000
Se 0.5000 0.5000 0.0000
N 0.0000 0.5000 0.5000
N 0.5000 0.0000 0.5000

Summary:
Space group: No. 123

***

## R
First-principles (PBE) data for a relaxed structure of SrRuSeN2, as listed in the Alexandria database.

Cell lengths 4.6694, 4.6694, 6.2375 Å; angles 90.00, 90.00, 90.00 degrees
Sites, in units of the cell vectors:
Sr 0.0000 0.0000 0.0000
Ru 0.5000 0.5000 0.5000
Se 0.0000 0.0000 0.5000
N 0.0000 0.5000 0.0000
N 0.5000 0.0000 0.0000

Summary:
Space group: No. 123

***

The energy of each structure relative to the most stable one, in meV per atom, is as follows: P 1183; Q 0; R 2042.

***

## P
First-principles (PBE) data for a relaxed structure of TaRuSeN2, as listed in the Alexandria database.

Cell lengths 3.8308, 3.8308, 5.1502 Å; angles 90.00, 90.00, 90.00 degrees
Sites, in units of the cell vectors:
Ta 0.0000 0.0000 0.0000
Ru 0.5000 0.5000 0.5000
Se 0.5000 0.5000 0.0000
N 0.0000 0.5000 0.5000
N 0.5000 0.0000 0.5000

Summary:
Space group: No. 123

***

## Q
First-principles (PBE) data for a relaxed structure of TaRuSeN2, as listed in the Alexandria database.

Cell lengths 3.9610, 3.9610, 5.3962 Å; angles 90.00, 90.00, 90.00 degrees
Sites, in units of the cell vectors:
Ta 0.0000 0.0000 0.0000
Ru 0.5000 0.5000 0.5000
Se 0.0000 0.0000 0.5000
N 0.0000 0.5000 0.0000
N 0.5000 0.0000 0.0000

Summary:
Space group: No. 123

***

The energy of each structure relative to the most stable one, in meV per atom, is as follows: P 402; Q 0.